VASP calculation (PBE) on a relaxed structure of NaY2ErSe4.

Cell lengths 7.104, 4.065, 7.108 Å; angles 90.00, 108.98, 90.00 degrees
Space group P2/m (No. 10)
Symmetry-distinct sites (fractional):
Na  0.000  0.000  0.000 x1
Y  0.000  0.500  0.500 x1
Y  0.500  0.000  0.500 x1
Er  0.500  0.500  0.000 x1
Se  0.253  0.000  0.754 x2
Se  0.255  0.500  0.251 x2

## Properties
Its total magnetization is 0.000 μB per atom. The energy relative to the elements, uncorrected is -1.7273 eV per atom. For the mass density, the calculation gives 5.85 g/cm³.